(1)
Density functional theory data (GGA-PBE) for a relaxed structure of CsHfAgTe3.

a b c (Å): 9.942 4.261 18.849
angles (deg): 90.00 90.00 90.00
Element x y z (fractional)
Cs1 0.085 0.250 0.152
Cs2 0.415 0.750 0.652
Cs3 0.585 0.250 0.348
Cs4 0.915 0.750 0.848
Hf1 0.173 0.750 0.434
Hf2 0.327 0.250 0.934
Hf3 0.673 0.750 0.066
Hf4 0.827 0.250 0.566
Ag1 0.039 0.250 0.688
Ag2 0.461 0.750 0.188
Ag3 0.539 0.250 0.812
Ag4 0.961 0.750 0.312
Te1 0.041 0.750 0.583
Te2 0.170 0.750 0.990
Te3 0.243 0.250 0.794
Te4 0.257 0.750 0.294
Te5 0.330 0.250 0.490
Te6 0.459 0.250 0.083
Te7 0.541 0.750 0.917
Te8 0.670 0.750 0.510
Te9 0.743 0.250 0.706
Te10 0.757 0.750 0.206
Te11 0.830 0.250 0.010
Te12 0.959 0.250 0.417

Results
Space-group type = Pnma (62)
Total moment = 0.00 μB/f.u.

=====

(2)
Density functional theory data (GGA-PBE) for a relaxed structure of TaIr2.

a b c (Å): 6.365 6.365 3.889
angles (deg): 90.00 90.00 143.85
Element x y z (fractional)
Ta1 0.157 0.843 0.000
Ta2 0.843 0.157 0.000
Ir1 0.000 0.000 0.500
Ir2 0.334 0.666 0.500
Ir3 0.500 0.500 0.000
Ir4 0.666 0.334 0.500

Results
Formation energy from the elements = -0.662 eV/atom
Space-group type = Cmmm (65)
Total moment = 0.00 μB/f.u.

=====

(3)
Density functional theory data (GGA-PBE) for a relaxed structure of Zr2U2As.

a b c (Å): 11.711 10.327 6.203
angles (deg): 86.43 61.65 31.92
Element x y z (fractional)
Zr1 0.026 0.724 0.026
Zr2 0.276 0.974 0.276
Zr3 0.724 0.026 0.724
Zr4 0.974 0.276 0.974
U1 0.000 0.500 0.500
U2 0.500 0.000 0.500
U3 0.500 0.500 0.000
U4 0.500 0.500 0.500
As1 0.375 0.375 0.375
As2 0.625 0.625 0.625

Results
Space-group type = Fddd (70)
Total moment = 5.32 μB/f.u.

=====

(4)
Density functional theory data (GGA-PBE) for a relaxed structure of CsRbPdBr4.

a b c (Å): 4.704 7.583 7.892
angles (deg): 90.00 90.00 90.00
Element x y z (fractional)
Cs1 0.000 0.000 0.000
Rb1 0.000 0.500 0.500
Pd1 0.500 0.000 0.500
Br1 0.500 0.232 0.279
Br2 0.500 0.232 0.721
Br3 0.500 0.768 0.279
Br4 0.500 0.768 0.721

Results
Space-group type = Pmmm (47)

=====

no.,DFT total energy (eV per cell)
1,-108.909
2,-63.095
3,-87.032
4,-22.027